Material: AlAsOs2
Method: DFT, GGA-PBE
State: relaxed

## Properties
Energy above the lowest structure with this stoichiometry: 0.373 eV/atom
Crystal system: orthorhombic
DFT total energy: -29.529 eV/cell

Cell lengths 2.9982, 4.1002, 4.8890 Å; angles 90.00, 90.00, 90.00 degrees
Space group Pmmm (No. 47)
Asymmetric unit:
Al1 0.0000 0.0000 0.0000 [1 per cell]
As1 0.5000 0.0000 0.5000 [1 per cell]
Os1 0.0000 0.5000 0.5000 [1 per cell]
Os2 0.5000 0.5000 0.0000 [1 per cell]

***

Material: SiNF
Method: DFT, GGA-PBE
State: relaxed

## Properties
Crystal system: tetragonal
DFT total energy: -37.249 eV/cell

Cell lengths 3.2433, 3.2433, 5.1370 Å; angles 90.00, 90.00, 90.00 degrees
Space group P4_2/mmc (No. 131)
Asymmetric unit:
Si1 0.0000 0.5000 0.0000 [2 per cell]
N1 0.0000 0.0000 0.2500 [2 per cell]
F1 0.5000 0.5000 0.0000 [2 per cell]

***

Material: ScMnCl2
Method: DFT, GGA-PBE
State: relaxed

## Properties
Energy above the lowest structure with this stoichiometry: 0.000 eV/atom
Crystal system: monoclinic
DFT total energy: -22.848 eV/cell

Cell lengths 3.4777, 3.3510, 8.1314 Å; angles 90.00, 101.94, 90.00 degrees
Space group Pm (No. 6)
Asymmetric unit:
Sc1 0.0000 0.0000 0.0000 [1 per cell]
Mn1 0.6059 0.5000 0.2198 [1 per cell]
Cl1 0.1730 0.0000 0.3559 [1 per cell]
Cl2 0.8873 0.5000 0.7682 [1 per cell]

***

Question: The lowest DFT total energy belongs to which entry?
Answer: SiNF